Entry from the Alexandria database: crystalline Rb2MoW3O12 at its relaxed geometry (GGA+U).

a b c (Å): 7.4098 7.4098 18.3393
angles (deg): 90.00 90.00 120.00
Space group R-3m (No. 166, hexagonal axes)
Symmetry-distinct sites (fractional):
Rb 0.0000 0.0000 0.1318 (multiplicity 6)
Mo 0.0000 0.0000 0.5000 (multiplicity 3)
W 0.0000 0.5000 0.0000 (multiplicity 9)
O 0.0771 0.5385 0.1004 (multiplicity 18)
O 0.0857 0.5429 0.3539 (multiplicity 18)

Results
Size of the total moment, μB per formula unit: 2.0
E_tot, eV/cell: -379.4